No. 1
NaSr2C2O6 | GGA-PBE | relaxed

* mass density: 3.78 g/cm3
* formation energy without anion corrections: -1.943 eV per atom
* space-group type: C2/m

a = 5.3479 Å, b = 5.3479 Å, c = 6.7215 Å
α = 116.44°, β = 116.44°, γ = 57.71°
Fractional positions:
1 Na 0.0000 0.0000 0.0000
2 Sr 0.2100 0.2100 0.7082
3 Sr 0.7900 0.7900 0.2918
4 C 0.4585 0.4585 0.2363
5 C 0.5415 0.5415 0.7637
6 O 0.2365 0.6818 0.6898
7 O 0.2958 0.2958 0.1518
8 O 0.3182 0.7635 0.3102
9 O 0.6818 0.2365 0.6898
10 O 0.7042 0.7042 0.8482
11 O 0.7635 0.3182 0.3102

---

No. 2
ZrGaCuN2 | GGA-PBE | relaxed

* mass density: 6.20 g/cm3
* formation energy without anion corrections: 0.987 eV per atom
* space-group type: P4/mmm

a = 3.9182 Å, b = 3.9182 Å, c = 4.4019 Å
α = 90.00°, β = 90.00°, γ = 90.00°
Fractional positions:
1 Zr 0.0000 0.0000 0.0000
2 Ga 0.5000 0.5000 0.0000
3 Cu 0.5000 0.5000 0.5000
4 N 0.0000 0.5000 0.5000
5 N 0.5000 0.0000 0.5000